The following is a DFT calculation (PBE) of an optimized crystal structure of SiW.

Geometry as POSCAR:
```
SiW
1.0
-2.236 -0.447 3.717
-2.836 -2.624 -2.022
1.685 -2.382 0.728
Si W
2 2
direct
0.250 0.250 0.500
0.750 0.750 0.500
0.250 0.750 0.000
0.750 0.250 0.000
```

Calculated values
The calculation puts the total energy at -9.06 eV/atom. For the mass density, the calculation gives 12.3 g/cm3.


The following is a DFT calculation (PBE) of an optimized crystal structure of YSiW2.

Geometry as POSCAR:
```
YSiW2
1.0
-1.184 2.596 -0.661
-1.039 -1.929 -1.942
-6.754 -1.725 5.326
Si W Y
1 2 1
direct
0.500 0.500 0.778
0.000 0.000 0.989
0.500 0.500 0.225
0.000 0.000 0.508
```

Calculated values
The calculation puts the total energy at -9.21 eV/atom. For the mass density, the calculation gives 11.2 g/cm3.


The following is a DFT calculation (PBE) of an optimized crystal structure of YSiW2.

Geometry as POSCAR:
```
YSiW2
1.0
-1.895 3.741 -0.629
-2.702 -1.098 1.604
0.694 1.270 5.458
Si W Y
1 2 1
direct
0.500 0.932 0.760
0.000 0.792 0.045
0.500 0.251 0.125
0.000 0.526 0.570
```

Calculated values
The calculation puts the total energy at -9.36 eV/atom. For the mass density, the calculation gives 10.6 g/cm3.


The following is a DFT calculation (PBE) of an optimized crystal structure of YSiW2.

Geometry as POSCAR:
```
YSiW2
1.0
5.329 -0.003 0.000
-2.331 4.792 0.000
0.000 0.000 2.801
Si W Y
1 2 1
direct
0.000 0.500 0.500
0.000 0.000 0.000
0.500 0.500 0.000
0.500 0.000 0.500
```

Calculated values
The calculation puts the total energy at -8.81 eV/atom. For the mass density, the calculation gives 11.3 g/cm3.


The following is a DFT calculation (PBE) of an optimized crystal structure of YSiW2.

Geometry as POSCAR:
```
YSiW2
1.0
9.678 0.000 0.000
9.231 2.906 0.000
9.231 1.419 2.536
Si W Y
1 2 1
direct
0.750 0.750 0.750
0.012 0.012 0.012
0.488 0.488 0.488
0.250 0.250 0.250
```

Calculated values
The calculation puts the total energy at -8.87 eV/atom. For the mass density, the calculation gives 11.3 g/cm3.


The following is a DFT calculation (PBE) of an optimized crystal structure of YSiW2.

Geometry as POSCAR:
```
YSiW2
1.0
-0.582 4.695 2.766
-0.595 -0.161 5.446
3.341 -2.106 -3.801
Si W Y
1 2 1
direct
0.750 0.250 0.500
0.000 0.000 0.000
0.500 0.500 0.000
0.250 0.750 0.500
```

Calculated values
The calculation puts the total energy at -9.03 eV/atom. For the mass density, the calculation gives 11.1 g/cm3.


Among the records above, which one has the lowest mass density?
number 3